A relaxed structure of SrHgP2, computed with PBE.

Values from the calculation:
Final energy ... -3.1836 eV per atom
Energy of formation from the pure elements ... 0.40 kcal/mol of atoms

abc: 4.0827 4.0827 6.0136
angles: 90.00 90.00 90.00
Fractional coordinates of all 4 atoms:
Sr  0.0000  0.0000  0.0000
Hg  0.5000  0.5000  0.4488
P  0.0000  0.0000  0.4944
P  0.5000  0.5000  0.8906